First-principles (GGA-PBEsol) data for crystalline TlPRu2Au at its relaxed geometry, as listed in Alexandria via LeMat-Bulk.

Lattice parameters (Å, degrees): 4.748 4.974 4.974 90.00 90.00 90.00
Fractional coordinates of all 5 atoms:
P1 0.500 0.000 0.000
Ru1 0.000 0.000 0.500
Ru2 0.000 0.500 0.000
Tl1 0.000 0.000 0.000
Au1 0.500 0.500 0.500

Output
**Fermi-level density of states**: 1.5827 states/eV/atom
**Magnetic moment**: 4.04 μB/f.u.
**Formation energy**: 2.344 eV/atom
**Symmetry**: P4/mmm
**Crystal system**: tetragonal


First-principles (GGA-PBEsol) data for crystalline PAuS4 at its relaxed geometry, as listed in Alexandria via LeMat-Bulk.

Lattice parameters (Å, degrees): 5.831 6.975 8.107 77.19 86.45 79.50
Fractional coordinates of all 12 atoms:
S1 0.419 0.258 0.363
S2 0.747 0.305 0.988
S3 0.581 0.742 0.637
S4 0.954 0.976 0.293
S5 0.851 0.468 0.343
S6 0.046 0.024 0.707
S7 0.253 0.695 0.012
S8 0.149 0.532 0.657
P1 0.742 0.251 0.247
P2 0.258 0.749 0.753
Au1 0.500 0.500 0.500
Au2 0.000 0.000 0.000

Output
**Uncorrected energy**: -56.41 eV for the cell shown
**Magnetic moment**: 0.00 μB/f.u.
**Symmetry**: P-1
**Crystal system**: triclinic


First-principles (GGA-PBEsol) data for crystalline PAuSeS2 at its relaxed geometry, as listed in Alexandria via LeMat-Bulk.

Lattice parameters (Å, degrees): 4.684 4.684 4.829 90.00 90.00 90.00
Fractional coordinates of all 5 atoms:
Se1 0.000 0.000 0.000
S1 0.000 0.500 0.000
S2 0.500 0.000 0.000
P1 0.500 0.500 0.500
Au1 0.000 0.000 0.500

Output
**Fermi-level density of states**: 0.7983 states/eV/atom
**Uncorrected energy**: -16.99 eV for the cell shown
**Magnetic moment**: 0.00 μB/f.u.
**Symmetry**: P4/mmm
**Crystal system**: tetragonal


First-principles (GGA-PBEsol) data for crystalline SnPAuS2 at its relaxed geometry, as listed in Alexandria via LeMat-Bulk.

Lattice parameters (Å, degrees): 4.587 4.893 4.893 90.00 90.00 90.00
Fractional coordinates of all 5 atoms:
S1 0.000 0.500 0.000
S2 0.000 0.000 0.500
Sn1 0.500 0.500 0.500
P1 0.500 0.000 0.000
Au1 0.000 0.000 0.000

Output
**Fermi-level density of states**: 0.9227 states/eV/atom
**Uncorrected energy**: -20.10 eV for the cell shown
**Magnetic moment**: 0.02 μB/f.u.
**Symmetry**: P4/mmm
**Crystal system**: tetragonal


First-principles (GGA-PBEsol) data for crystalline TcPAuS2 at its relaxed geometry, as listed in Alexandria via LeMat-Bulk.

Lattice parameters (Å, degrees): 4.436 4.436 4.794 90.00 90.00 90.00
Fractional coordinates of all 5 atoms:
S1 0.000 0.500 0.000
S2 0.500 0.000 0.000
P1 0.000 0.000 0.500
Au1 0.500 0.500 0.500
Tc1 0.000 0.000 0.000

Output
**Fermi-level density of states**: 0.6377 states/eV/atom
**Uncorrected energy**: -27.02 eV for the cell shown
**Magnetic moment**: 0.00 μB/f.u.
**Symmetry**: P4/mmm
**Crystal system**: tetragonal


First-principles (GGA-PBEsol) data for crystalline TlP2AuS at its relaxed geometry, as listed in Alexandria via LeMat-Bulk.

Lattice parameters (Å, degrees): 4.932 5.035 5.035 90.00 90.00 90.00
Fractional coordinates of all 5 atoms:
Tl1 0.000 0.000 0.000
Au1 0.500 0.500 0.500
P1 0.000 0.500 0.000
P2 0.000 0.000 0.500
S1 0.500 0.000 0.000

Output
**Fermi-level density of states**: 1.1226 states/eV/atom
**Uncorrected energy**: -14.65 eV for the cell shown
**Magnetic moment**: 1.38 μB/f.u.
**Symmetry**: P4/mmm
**Crystal system**: tetragonal


First-principles (GGA-PBEsol) data for crystalline SbPAu2 at its relaxed geometry, as listed in Alexandria via LeMat-Bulk.

Lattice parameters (Å, degrees): 3.958 3.958 5.552 110.88 110.88 90.00
Fractional coordinates of all 4 atoms:
Au1 0.750 0.250 0.500
Au2 0.250 0.750 0.500
Sb1 0.000 0.000 0.000
P1 0.500 0.500 0.000

Output
**Fermi-level density of states**: 0.2757 states/eV/atom
**Uncorrected energy**: -17.12 eV for the cell shown
**Magnetic moment**: 0.00 μB/f.u.
**Symmetry**: I4/mmm
**Crystal system**: tetragonal


First-principles (GGA-PBEsol) data for crystalline SbP2Au at its relaxed geometry, as listed in Alexandria via LeMat-Bulk.

Lattice parameters (Å, degrees): 3.448 4.823 4.823 112.78 90.00 90.00
Fractional coordinates of all 4 atoms:
Au1 0.500 0.231 0.769
Sb1 0.000 0.503 0.497
P1 0.500 0.775 0.225
P2 0.000 0.985 0.015

Output
**Fermi-level density of states**: 0.4138 states/eV/atom
**Uncorrected energy**: -19.68 eV for the cell shown
**Magnetic moment**: 0.00 μB/f.u.
**Symmetry**: Amm2
**Crystal system**: orthorhombic


First-principles (GGA-PBEsol) data for crystalline SbP2Au at its relaxed geometry, as listed in Alexandria via LeMat-Bulk.

Lattice parameters (Å, degrees): 4.675 4.675 4.675 60.00 60.00 60.00
Fractional coordinates of all 4 atoms:
P1 0.000 0.000 0.000
P2 0.750 0.750 0.750
Sb1 0.250 0.250 0.250
Au1 0.500 0.500 0.500

Output
**Fermi-level density of states**: 0.5673 states/eV/atom
**Uncorrected energy**: -18.00 eV for the cell shown
**Magnetic moment**: 0.00 μB/f.u.
**Symmetry**: F-43m
**Crystal system**: cubic


First-principles (GGA-PBEsol) data for crystalline ScPAu3 at its relaxed geometry, as listed in Alexandria via LeMat-Bulk.

Lattice parameters (Å, degrees): 4.644 4.644 4.644 90.00 90.00 90.00
Fractional coordinates of all 5 atoms:
Sc1 0.500 0.500 0.500
Au1 0.500 0.000 0.000
Au2 0.000 0.500 0.000
Au3 0.000 0.000 0.500
P1 0.000 0.000 0.000

Output
**Fermi-level density of states**: 0.7326 states/eV/atom
**Magnetic moment**: 0.00 μB/f.u.
**Formation energy**: 0.022 eV/atom
**Symmetry**: Pm-3m
**Crystal system**: cubic
**ΔE to the lowest computed polymorph**: 0.0000 eV/atom


First-principles (GGA-PBEsol) data for crystalline ScPAu3 at its relaxed geometry, as listed in Alexandria via LeMat-Bulk.

Lattice parameters (Å, degrees): 4.938 4.938 4.938 90.00 90.00 90.00
Fractional coordinates of all 5 atoms:
Au1 0.000 0.500 0.000
Au2 0.500 0.000 0.000
Au3 0.000 0.000 0.500
P1 0.500 0.500 0.500
Sc1 0.000 0.000 0.000

Output
**Fermi-level density of states**: 0.6682 states/eV/atom
**Magnetic moment**: 0.00 μB/f.u.
**Formation energy**: 1.060 eV/atom
**Symmetry**: Pm-3m
**Crystal system**: cubic
**ΔE to the lowest computed polymorph**: 1.0378 eV/atom


First-principles (GGA-PBEsol) data for crystalline Sc2PAu at its relaxed geometry, as listed in Alexandria via LeMat-Bulk.

Lattice parameters (Å, degrees): 4.650 4.650 4.650 60.00 60.00 60.00
Fractional coordinates of all 4 atoms:
P1 0.750 0.750 0.750
Sc1 0.250 0.250 0.250
Sc2 0.000 0.000 0.000
Au1 0.500 0.500 0.500

Output
**Fermi-level density of states**: 1.3942 states/eV/atom
**Magnetic moment**: 0.00 μB/f.u.
**Formation energy**: -0.185 eV/atom
**Symmetry**: F-43m
**Crystal system**: cubic


First-principles (GGA-PBEsol) data for crystalline Sc2PAu at its relaxed geometry, as listed in Alexandria via LeMat-Bulk.

Lattice parameters (Å, degrees): 3.817 3.817 5.422 90.00 90.00 90.00
Fractional coordinates of all 4 atoms:
Sc1 0.500 0.500 0.000
Sc2 0.000 0.000 0.500
P1 0.500 0.500 0.500
Au1 0.000 0.000 0.000

Output
**Fermi-level density of states**: 0.9677 states/eV/atom
**Magnetic moment**: 0.00 μB/f.u.
**Formation energy**: -0.903 eV/atom
**Symmetry**: P4/mmm
**Crystal system**: tetragonal


First-principles (GGA-PBEsol) data for crystalline ScP2Au at its relaxed geometry, as listed in Alexandria via LeMat-Bulk.

Lattice parameters (Å, degrees): 3.083 3.083 17.063 90.00 90.00 120.00
Fractional coordinates of all 8 atoms:
Sc1 0.000 0.000 0.500
Sc2 0.000 0.000 0.000
P1 0.333 0.667 0.113
P2 0.333 0.667 0.387
P3 0.667 0.333 0.613
P4 0.667 0.333 0.887
Au1 0.667 0.333 0.750
Au2 0.333 0.667 0.250

Output
**Fermi-level density of states**: 0.7012 states/eV/atom
**Magnetic moment**: 0.00 μB/f.u.
**Formation energy**: -0.258 eV/atom
**Symmetry**: P6_3/mmc
**Crystal system**: hexagonal
**ΔE to the lowest computed polymorph**: 0.2771 eV/atom


First-principles (GGA-PBEsol) data for crystalline ScP2Au at its relaxed geometry, as listed in Alexandria via LeMat-Bulk.

Lattice parameters (Å, degrees): 3.421 4.299 4.299 90.00 90.00 90.00
Fractional coordinates of all 4 atoms:
P1 0.000 0.500 0.000
P2 0.000 0.000 0.500
Au1 0.500 0.000 0.000
Sc1 0.500 0.500 0.500

Output
**Fermi-level density of states**: 0.5253 states/eV/atom
**Magnetic moment**: 0.00 μB/f.u.
**Formation energy**: -0.535 eV/atom
**Symmetry**: P4/mmm
**Crystal system**: tetragonal
**ΔE to the lowest computed polymorph**: 0.0000 eV/atom


First-principles (GGA-PBEsol) data for crystalline PAu2Se at its relaxed geometry, as listed in Alexandria via LeMat-Bulk.

Lattice parameters (Å, degrees): 4.154 4.154 4.990 114.60 114.60 90.00
Fractional coordinates of all 4 atoms:
Se1 0.250 0.750 0.500
Au1 0.750 0.250 0.500
Au2 0.000 0.000 0.000
P1 0.500 0.500 0.000

Output
**Fermi-level density of states**: 0.4343 states/eV/atom
**Magnetic moment**: 0.00 μB/f.u.
**Symmetry**: I-4m2
**Crystal system**: tetragonal
**ΔE to the lowest computed polymorph**: 0.2923 eV/atom


First-principles (GGA-PBEsol) data for crystalline PAuSe2 at its relaxed geometry, as listed in Alexandria via LeMat-Bulk.

Lattice parameters (Å, degrees): 2.720 3.742 7.447 90.00 89.98 90.00
Fractional coordinates of all 4 atoms:
P1 0.000 0.500 0.000
Au1 0.000 0.500 0.500
Se1 0.000 0.000 0.242
Se2 0.000 0.000 0.758

Output
**Fermi-level density of states**: 0.3746 states/eV/atom
**Uncorrected energy**: -16.85 eV for the cell shown
**Magnetic moment**: 0.00 μB/f.u.
**Symmetry**: Pmmm
**Crystal system**: orthorhombic


First-principles (GGA-PBEsol) data for crystalline P2AuSe at its relaxed geometry, as listed in Alexandria via LeMat-Bulk.

Lattice parameters (Å, degrees): 2.736 5.047 5.047 90.00 90.00 90.00
Fractional coordinates of all 4 atoms:
Au1 0.000 0.000 0.000
P1 0.000 0.500 0.000
P2 0.000 0.000 0.500
Se1 0.000 0.500 0.500

Output
**Fermi-level density of states**: 0.3608 states/eV/atom
**Uncorrected energy**: -18.69 eV for the cell shown
**Magnetic moment**: 0.00 μB/f.u.
**Symmetry**: P4/mmm
**Crystal system**: tetragonal


First-principles (GGA-PBEsol) data for crystalline PAuSe2 at its relaxed geometry, as listed in Alexandria via LeMat-Bulk.

Lattice parameters (Å, degrees): 3.703 3.937 6.027 109.06 107.89 90.00
Fractional coordinates of all 4 atoms:
Au1 0.500 0.000 0.000
P1 0.000 0.500 0.000
Se1 0.326 0.326 0.651
Se2 0.674 0.674 0.349

Output
**Fermi-level density of states**: 0.4223 states/eV/atom
**Uncorrected energy**: -16.32 eV for the cell shown
**Magnetic moment**: 0.00 μB/f.u.
**Symmetry**: Immm
**Crystal system**: orthorhombic


First-principles (GGA-PBEsol) data for crystalline PAuSe2 at its relaxed geometry, as listed in Alexandria via LeMat-Bulk.

Lattice parameters (Å, degrees): 2.561 5.012 7.451 109.65 90.00 90.00
Fractional coordinates of all 4 atoms:
Se1 0.000 0.000 0.500
Se2 0.000 0.500 0.500
Au1 0.500 0.000 0.000
P1 0.500 0.500 0.000

Output
**Fermi-level density of states**: 0.4684 states/eV/atom
**Uncorrected energy**: -15.56 eV for the cell shown
**Magnetic moment**: 0.00 μB/f.u.
**Symmetry**: Cmmm
**Crystal system**: orthorhombic